Here is Si3Ni2Sb2 after structural relaxation from OQMD via LeMat-Bulk. Energies are from PBE-GGA.

```
Si3Ni2Sb2
1.0
5.777 6.213 -1.803
8.077 3.117 -0.527
6.764 3.223 -4.369
Sb Ni Si
2 2 3
Direct
0.055 0.055 0.055
0.481 0.481 0.481
0.780 0.780 0.780
0.243 0.243 0.243
0.330 0.330 0.330
0.605 0.605 0.605
0.881 0.881 0.881
```

Here is KErTh after structural relaxation from OQMD via LeMat-Bulk. Energies are from PBE-GGA.

```
KErTh
1.0
0.000 3.894 3.894
3.894 0.000 3.894
3.894 3.894 0.000
Th Er K
1 1 1
Direct
0.000 0.000 0.000
0.500 0.500 0.500
0.250 0.250 0.250
```

Here is HfGe2 after structural relaxation from OQMD via LeMat-Bulk. Energies are from PBE-GGA.

```
HfGe2
1.0
-4.059 0.797 7.470
3.693 -2.771 7.183
2.796 5.607 5.801
Ge Hf
4 2
Direct
0.375 0.375 0.375
0.375 0.375 0.875
0.375 0.875 0.375
0.875 0.375 0.375
0.250 0.250 0.250
0.500 0.500 0.500
```

Here is BaInHg2Pd after structural relaxation from OQMD via LeMat-Bulk. Energies are from PBE-GGA.

```
BaInHg2Pd
1.0
-2.324 2.324 6.373
2.324 -2.324 6.373
2.324 2.324 -6.373
Hg In Ba Pd
2 1 1 1
Direct
0.384 0.384 0.000
0.616 0.616 0.000
0.750 0.250 0.500
0.000 0.000 0.000
0.250 0.750 0.500
```

Here is Rb3CuCl6 after structural relaxation from OQMD via LeMat-Bulk. Energies are from PBE-GGA.

```
Rb3CuCl6
1.0
0.000 5.366 5.366
5.366 0.000 5.366
5.366 5.366 0.000
Cl Rb Cu
6 3 1
Direct
0.780 0.220 0.220
0.780 0.780 0.220
0.220 0.780 0.220
0.780 0.220 0.780
0.220 0.220 0.780
0.220 0.780 0.780
0.750 0.750 0.750
0.250 0.250 0.250
0.500 0.500 0.500
0.000 0.000 0.000
```

Here is BaNdTe after structural relaxation from OQMD via LeMat-Bulk. Energies are from PBE-GGA.

```
BaNdTe
1.0
0.000 3.886 3.886
3.886 0.000 3.886
3.886 3.886 0.000
Te Nd Ba
1 1 1
Direct
0.000 0.000 0.000
0.750 0.750 0.750
0.250 0.250 0.250
```

Here is Zr4PbC2S after structural relaxation from OQMD via LeMat-Bulk. Energies are from PBE-GGA.

```
Zr4PbC2S
1.0
3.416 0.000 0.000
-1.708 2.958 0.000
0.000 0.000 13.625
Zr Pb C S
4 1 2 1
Direct
0.333 0.667 0.366
0.333 0.667 0.634
0.667 0.333 0.184
0.667 0.333 0.816
0.333 0.667 0.000
0.000 0.000 0.727
0.000 0.000 0.273
0.667 0.333 0.500
```

Here is CsBiPd after structural relaxation from OQMD via LeMat-Bulk. Energies are from PBE-GGA.

```
CsBiPd
1.0
0.000 3.724 3.724
3.724 0.000 3.724
3.724 3.724 0.000
Pd Cs Bi
1 1 1
Direct
0.000 0.000 0.000
0.750 0.750 0.750
0.250 0.250 0.250
```

Here is MgHgTeO after structural relaxation from OQMD via LeMat-Bulk. Energies are from PBE-GGA.

```
MgHgTeO
1.0
6.060 0.000 0.000
0.000 3.775 0.000
0.000 0.000 15.110
Mg Te Hg O
4 4 4 4
Direct
0.271 0.250 0.614
0.771 0.250 0.886
0.229 0.750 0.114
0.729 0.750 0.386
0.242 0.250 0.938
0.258 0.750 0.438
0.758 0.750 0.062
0.742 0.250 0.562
0.684 0.250 0.196
0.816 0.750 0.696
0.184 0.250 0.304
0.316 0.750 0.804
0.250 0.750 0.661
0.750 0.250 0.339
0.250 0.250 0.161
0.750 0.750 0.839
```

Here is SrLiLuSe3 after structural relaxation from OQMD via LeMat-Bulk. Energies are from PBE-GGA.

```
SrLiLuSe3
1.0
-11.493 -7.288 2.016
1.367 -1.128 3.716
-4.677 8.570 4.323
Sr Se Lu Li
4 12 4 4
Direct
0.728 0.750 0.466
0.228 0.750 0.034
0.272 0.250 0.534
0.772 0.250 0.966
0.141 0.250 0.251
0.359 0.750 0.751
0.859 0.750 0.749
0.099 0.250 0.884
0.401 0.750 0.384
0.105 0.750 0.570
0.599 0.250 0.616
0.895 0.250 0.430
0.901 0.750 0.116
0.641 0.250 0.249
0.395 0.250 0.070
0.605 0.750 0.930
0.984 0.250 0.666
0.516 0.750 0.166
0.484 0.250 0.834
0.016 0.750 0.334
0.006 0.250 0.091
0.994 0.750 0.909
0.506 0.250 0.409
0.494 0.750 0.591
```

Here is YTlCdSe3 after structural relaxation from OQMD via LeMat-Bulk. Energies are from PBE-GGA.

```
YTlCdSe3
1.0
-10.577 1.030 -6.301
-1.313 -3.764 1.589
-5.320 6.044 9.918
Se Y Cd Tl
12 4 4 4
Direct
0.762 0.000 0.828
0.262 0.000 0.672
0.411 0.500 0.935
0.534 0.500 0.674
0.089 0.000 0.435
0.238 0.500 0.172
0.966 0.000 0.174
0.589 0.000 0.065
0.738 0.500 0.328
0.911 0.500 0.565
0.466 0.000 0.326
0.034 0.500 0.826
0.469 0.500 0.168
0.531 0.000 0.832
0.031 0.000 0.668
0.969 0.500 0.332
0.250 0.500 0.799
0.750 0.500 0.701
0.250 0.000 0.299
0.750 0.000 0.201
0.156 0.000 0.003
0.656 0.000 0.497
0.344 0.500 0.503
0.844 0.500 0.997
```

Here is LuUTc after structural relaxation from OQMD via LeMat-Bulk. Energies are from PBE-GGA.

```
LuUTc
1.0
1.507 -4.016 1.645
0.218 -0.687 4.537
-2.932 -2.897 2.028
U Lu Tc
1 1 1
Direct
0.000 0.000 0.000
0.250 0.250 0.250
0.750 0.750 0.750
```

Here is Ga2AgAuSe4 after structural relaxation from OQMD via LeMat-Bulk. Energies are from PBE-GGA.

```
Ga2AgAuSe4
1.0
-3.003 3.003 5.685
3.003 -3.003 5.685
3.003 3.003 -5.685
Se Au Ga Ag
4 1 2 1
Direct
0.378 0.401 0.527
0.874 0.851 0.473
0.149 0.622 0.023
0.599 0.126 0.977
0.750 0.250 0.500
0.250 0.750 0.500
0.500 0.500 0.000
0.000 0.000 0.000
```

Here is Tb2TmIn3CuIr2 after structural relaxation from OQMD via LeMat-Bulk. Energies are from PBE-GGA.

```
Tb2TmIn3CuIr2
1.0
3.868 0.000 0.000
0.000 6.506 3.786
0.000 -6.506 3.786
Tb In Ir Tm Cu
2 3 2 1 1
Direct
0.000 0.414 0.000
0.000 0.000 0.414
0.500 0.748 0.000
0.500 0.000 0.748
0.500 0.252 0.252
0.500 0.337 0.666
0.500 0.666 0.337
0.000 0.586 0.586
0.000 0.998 0.998
```

Here is LuFeAg after structural relaxation from OQMD via LeMat-Bulk. Energies are from PBE-GGA.

```
LuFeAg
1.0
3.280 -3.070 -0.944
-0.634 -4.427 1.034
-0.628 -3.073 -3.352
Ag Fe Lu
1 1 1
Direct
0.250 0.250 0.250
0.750 0.750 0.750
0.000 0.000 0.000
```

Here is Hf4Au2I after structural relaxation from OQMD via LeMat-Bulk. Energies are from PBE-GGA.

```
Hf4Au2I
1.0
-2.562 2.562 6.804
2.562 -2.562 6.804
2.562 2.562 -6.804
Au I Hf
2 1 4
Direct
0.607 0.607 0.000
0.393 0.393 0.000
0.000 0.000 0.000
0.500 0.000 0.500
0.202 0.202 0.000
0.798 0.798 0.000
0.000 0.500 0.500
```

Here is NaCuTcS3 after structural relaxation from OQMD via LeMat-Bulk. Energies are from PBE-GGA.

```
NaCuTcS3
1.0
-1.850 6.330 -2.404
-3.450 -0.966 0.112
0.161 0.467 8.998
S Tc Cu Na
6 2 2 2
Direct
0.552 0.250 0.884
0.908 0.750 0.142
0.448 0.750 0.116
0.738 0.250 0.447
0.092 0.250 0.858
0.262 0.750 0.553
0.690 0.250 0.172
0.310 0.750 0.828
0.925 0.750 0.392
0.075 0.250 0.608
0.267 0.250 0.284
0.733 0.750 0.716
```

Here is Pr2Ho2CI2Br2Cl after structural relaxation from OQMD via LeMat-Bulk. Energies are from PBE-GGA.

```
Pr2Ho2CI2Br2Cl
1.0
9.216 -1.942 0.000
9.216 1.942 0.000
-1.705 0.000 8.081
I C Cl Br Ho Pr
2 1 1 2 2 2
Direct
0.162 0.162 0.369
0.838 0.838 0.631
0.500 0.500 0.000
0.500 0.500 0.500
0.163 0.163 0.805
0.837 0.837 0.195
0.002 0.002 0.799
0.998 0.998 0.201
0.640 0.640 0.067
0.360 0.360 0.933
```

Here is ErTlIr after structural relaxation from OQMD via LeMat-Bulk. Energies are from PBE-GGA.

```
ErTlIr
1.0
0.000 3.315 3.315
3.315 0.000 3.315
3.315 3.315 0.000
Er Tl Ir
1 1 1
Direct
0.250 0.250 0.250
0.000 0.000 0.000
0.750 0.750 0.750
```

Here is KTbCu3S4 after structural relaxation from OQMD via LeMat-Bulk. Energies are from PBE-GGA.

```
KTbCu3S4
1.0
5.858 0.000 0.000
0.000 7.175 0.000
-2.097 0.000 9.674
S Tb Cu K
8 2 6 2
Direct
0.210 0.750 0.925
0.591 0.487 0.701
0.409 0.513 0.299
0.979 0.750 0.438
0.591 0.013 0.701
0.021 0.250 0.562
0.409 0.987 0.299
0.790 0.250 0.075
0.901 0.750 0.694
0.099 0.250 0.306
0.572 0.250 0.231
0.703 0.434 0.479
0.428 0.750 0.769
0.297 0.934 0.521
0.703 0.066 0.479
0.297 0.566 0.521
0.760 0.750 0.104
0.240 0.250 0.896
```

Here is Y2GeOs after structural relaxation from OQMD via LeMat-Bulk. Energies are from PBE-GGA.

```
Y2GeOs
1.0
0.000 3.402 3.402
3.402 0.000 3.402
3.402 3.402 0.000
Ge Os Y
1 1 2
Direct
0.500 0.500 0.500
0.250 0.250 0.250
0.750 0.750 0.750
0.000 0.000 0.000
```

Here is HoPtNO after structural relaxation from OQMD via LeMat-Bulk. Energies are from PBE-GGA.

```
HoPtNO
1.0
-2.403 3.145 -0.803
-3.486 -1.758 3.545
2.215 2.574 3.454
N O Ho Pt
2 2 2 2
Direct
0.000 0.234 0.973
0.000 0.766 0.473
0.500 0.603 0.808
0.500 0.397 0.308
0.000 0.717 0.982
0.000 0.283 0.482
0.500 0.147 0.991
0.500 0.853 0.491
```

Here is SrYTe3Au after structural relaxation from OQMD via LeMat-Bulk. Energies are from PBE-GGA.

```
SrYTe3Au
1.0
-5.324 -0.468 -6.579
0.294 -4.319 0.069
-6.053 -0.275 8.642
Au Y Te Sr
2 2 6 2
Direct
0.093 0.250 0.597
0.907 0.750 0.403
0.686 0.250 0.170
0.314 0.750 0.830
0.581 0.250 0.862
0.066 0.250 0.853
0.419 0.750 0.138
0.934 0.750 0.147
0.716 0.250 0.464
0.284 0.750 0.536
0.771 0.750 0.712
0.229 0.250 0.288
```

Here is GdScTc after structural relaxation from OQMD via LeMat-Bulk. Energies are from PBE-GGA.

```
GdScTc
1.0
0.000 3.280 3.280
3.280 0.000 3.280
3.280 3.280 0.000
Tc Gd Sc
1 1 1
Direct
0.750 0.750 0.750
0.000 0.000 0.000
0.250 0.250 0.250
```

Ρ (g cm⁻³)
6.20 6.16 2.44 9.16 2.86 5.79 7.58 7.20 7.08 5.56 6.30 12.38 6.16 11.15 8.22 11.48 4.31 6.16 12.85 4.22 9.30 12.56 6.74 7.07
Raw total energy (eV per atom)
-5.016 -2.827 -5.081 -2.460 -2.997 -3.926 -8.565 -3.081 -3.293 -4.863 -4.399 -7.723 -3.659 -5.447 -4.450 -6.163 -5.130 -4.921 -5.061 -4.500 -7.329 -7.095 -4.670 -6.137